Tb5Tl2 | GGA-PBE | relaxed

Cell and atoms, written as CIF:
```
data_Tb5Tl2
_cell_length_a 8.665
_cell_length_b 8.665
_cell_length_c 9.385
_cell_angle_alpha 100.35
_cell_angle_beta 100.35
_cell_angle_gamma 36.47
_space_group_name_H-M_alt 'P 1'
_space_group_IT_number 1
loop_
_space_group_symop_operation_xyz
'x,y,z'
loop_
_atom_site_label
_atom_site_type_symbol
_atom_site_fract_x
_atom_site_fract_y
_atom_site_fract_z
Tb1 Tb 0.019 0.518 0.673
Tb2 Tb 0.112 0.613 0.037
Tb3 Tb 0.249 0.751 0.750
Tb4 Tb 0.387 0.888 0.463
Tb5 Tb 0.482 0.981 0.827
Tb6 Tb 0.518 0.019 0.173
Tb7 Tb 0.613 0.112 0.537
Tb8 Tb 0.751 0.249 0.250
Tb9 Tb 0.888 0.387 0.963
Tb10 Tb 0.981 0.482 0.327
Tl1 Tl 0.176 0.674 0.392
Tl2 Tl 0.326 0.824 0.108
Tl3 Tl 0.674 0.176 0.892
Tl4 Tl 0.824 0.326 0.608
```

Summary:
- ΔE_f (eV per atom) = -0.20
- density of states at the Fermi level (states/eV/f.u.) = 5.39
- energy (eV per atom) = -4.187